AsP2SI | PBEsol | optimized geometry

Computed properties:
**Calculated density**: 3.94 Mg/m³
**DFT total energy**: -15.03 eV per cell
**Total magnetic moment**: 0.000 μB/cell
**DOS at the Fermi energy**: 4.79 states/eV per cell
**Space-group type**: No. 123

```
AsP2SI
1.0
4.8255 0.0000 0.0000
0.0000 5.0832 0.0000
0.0000 0.0000 5.0832
S P I As
1 2 1 1
Cartesian
2.4127 0.0000 0.0000
0.0000 2.5416 0.0000
0.0000 0.0000 2.5416
0.0000 0.0000 0.0000
2.4127 2.5416 2.5416
```